Density functional theory data (GGA-PBE) for a geometry-optimized SrTl3In structure.

- Fermi-level density of states (states/eV/f.u.) = 2.345
- total magnetic moment (μB/atom) = 0.00
- ρ (g cm⁻³) = 8.8
- formation energy from the elements (eV/atom) = -0.216

Cell: 5.013 4.977 12.529 Å, 90.00 101.44 90.00°
Space group P2_1/m (No. 11)
Symmetry-distinct sites (fractional):
Sr 0.148 0.250 0.296 (multiplicity 2)
Tl 0.046 0.750 0.091 (multiplicity 2)
Tl 0.249 0.750 0.499 (multiplicity 2)
Tl 0.450 0.750 0.902 (multiplicity 2)
In 0.337 0.250 0.676 (multiplicity 2)

Density functional theory data (GGA-PBE) for a geometry-optimized Sr3Tl3In8 structure.

- Fermi-level density of states (states/eV/f.u.) = 5.368
- total magnetic moment (μB/atom) = 0.00
- ρ (g cm⁻³) = 7.1
- formation energy from the elements (eV/atom) = -0.283

Cell: 4.921 11.688 14.698 Å, 90.00 90.00 90.00°
Space group Immm (No. 71)
Symmetry-distinct sites (fractional):
Sr 0.000 0.000 0.000 (multiplicity 2)
Sr 0.000 0.000 0.312 (multiplicity 4)
Tl 0.000 0.200 0.500 (multiplicity 4)
Tl 0.000 0.500 0.000 (multiplicity 2)
In 0.000 0.272 0.152 (multiplicity 8)
In 0.000 0.376 0.341 (multiplicity 8)

Density functional theory data (GGA-PBE) for a geometry-optimized SrTlIn3 structure.

- Fermi-level density of states (states/eV/f.u.) = 1.742
- total magnetic moment (μB/atom) = 0.00
- ρ (g cm⁻³) = 6.9
- formation energy from the elements (eV/atom) = -0.205

Cell: 6.514 6.876 6.883 Å, 90.00 90.00 90.00°
Space group Pmn2_1 (No. 31)
Symmetry-distinct sites (fractional):
Sr 0.000 0.240 0.000 (multiplicity 2)
Tl 0.000 0.900 0.356 (multiplicity 2)
In 0.000 0.600 0.656 (multiplicity 2)
In 0.250 0.259 0.502 (multiplicity 4)

Density functional theory data (GGA-PBE) for a geometry-optimized Sr2TlIn6 structure.

- Fermi-level density of states (states/eV/f.u.) = 5.262
- total magnetic moment (μB/atom) = 0.00
- ρ (g cm⁻³) = 6.6
- formation energy from the elements (eV/atom) = -0.268

Cell: 6.7462 6.7462 6.8242 Å, 90.00 90.00 120.00°
Space group P-3m1 (No. 164)
Symmetry-distinct sites (fractional):
Sr 0.3333 0.6667 0.1398 (multiplicity 2)
Tl 0.0000 0.0000 0.0000 (multiplicity 1)
In 0.1791 0.3583 0.6633 (multiplicity 6)

Density functional theory data (GGA-PBE) for a geometry-optimized Sr6Tl5In structure.

- Fermi-level density of states (states/eV/f.u.) = 9.475
- total magnetic moment (μB/atom) = 0.00
- ρ (g cm⁻³) = 6.7
- formation energy from the elements (eV/atom) = -0.427

Cell: 18.205 8.252 5.775 Å, 90.00 108.12 90.00°
Space group C2/m (No. 12)
Symmetry-distinct sites (fractional):
Sr 0.000 0.250 0.000 (multiplicity 4)
Sr 0.166 0.250 0.666 (multiplicity 8)
Tl 0.000 0.000 0.500 (multiplicity 2)
Tl 0.166 0.000 0.167 (multiplicity 4)
Tl 0.166 0.500 0.166 (multiplicity 4)
In 0.000 0.500 0.500 (multiplicity 2)

Density functional theory data (GGA-PBE) for a geometry-optimized SrTlIn6 structure.

- Fermi-level density of states (states/eV/f.u.) = 2.751
- total magnetic moment (μB/atom) = 0.00
- ρ (g cm⁻³) = 7.0
- formation energy from the elements (eV/atom) = -0.129

Cell: 5.603 7.295 5.658 Å, 90.00 90.00 90.00°
Space group Pmm2 (No. 25)
Symmetry-distinct sites (fractional):
Sr 0.000 0.000 0.000 (multiplicity 1)
Tl 0.500 0.500 0.642 (multiplicity 1)
In 0.000 0.276 0.502 (multiplicity 2)
In 0.000 0.500 0.013 (multiplicity 1)
In 0.500 0.000 0.592 (multiplicity 1)
In 0.500 0.274 0.138 (multiplicity 2)

Density functional theory data (GGA-PBE) for a geometry-optimized SrTlIn structure.

- Fermi-level density of states (states/eV/f.u.) = 1.642
- total magnetic moment (μB/atom) = 0.00
- ρ (g cm⁻³) = 7.0
- formation energy from the elements (eV/atom) = -0.284

Cell: 3.997 3.997 12.080 Å, 90.00 90.00 90.00°
Space group I4mm (No. 107)
Symmetry-distinct sites (fractional):
Sr 0.000 0.000 0.000 (multiplicity 2)
Tl 0.000 0.000 0.316 (multiplicity 2)
In 0.000 0.000 0.683 (multiplicity 2)

Density functional theory data (GGA-PBE) for a geometry-optimized SrTlIn2 structure.

- Fermi-level density of states (states/eV/f.u.) = 2.811
- total magnetic moment (μB/atom) = 0.00
- ρ (g cm⁻³) = 6.6
- formation energy from the elements (eV/atom) = -0.051

Cell: 3.7767 3.7767 31.7237 Å, 90.00 90.00 120.00°
Space group R-3m (No. 166, hexagonal axes)
Symmetry-distinct sites (fractional):
Sr 0.0000 0.0000 0.0000 (multiplicity 3)
Tl 0.0000 0.0000 0.5000 (multiplicity 3)
In 0.0000 0.0000 0.2478 (multiplicity 6)

Density functional theory data (GGA-PBE) for a geometry-optimized SrTl2In2 structure.

- Fermi-level density of states (states/eV/f.u.) = 1.013
- total magnetic moment (μB/atom) = 0.00
- ρ (g cm⁻³) = 7.5
- formation energy from the elements (eV/atom) = -0.190

Cell: 5.061 5.061 12.507 Å, 90.00 90.00 90.00°
Space group I4/mmm (No. 139)
Symmetry-distinct sites (fractional):
Sr 0.000 0.000 0.000 (multiplicity 2)
Tl 0.000 0.500 0.250 (multiplicity 4)
In 0.000 0.000 0.387 (multiplicity 4)

Density functional theory data (GGA-PBE) for a geometry-optimized SrTlIn2 structure.

- Fermi-level density of states (states/eV/f.u.) = 2.132
- total magnetic moment (μB/atom) = 0.00
- ρ (g cm⁻³) = 7.2
- formation energy from the elements (eV/atom) = -0.251

Cell: 4.874 4.874 10.133 Å, 90.00 90.00 90.00°
Space group I4/mmm (No. 139)
Symmetry-distinct sites (fractional):
Sr 0.000 0.000 0.000 (multiplicity 2)
Tl 0.000 0.000 0.500 (multiplicity 2)
In 0.000 0.500 0.250 (multiplicity 4)

Density functional theory data (GGA-PBE) for a geometry-optimized SrTlIn2 structure.

- Fermi-level density of states (states/eV/f.u.) = 2.329
- total magnetic moment (μB/atom) = 0.00
- ρ (g cm⁻³) = 7.1
- formation energy from the elements (eV/atom) = -0.233

Cell: 3.996 3.996 7.613 Å, 90.00 90.00 90.00°
Space group P4mm (No. 99)
Symmetry-distinct sites (fractional):
Sr 0.000 0.000 0.000 (multiplicity 1)
Tl 0.500 0.500 0.283 (multiplicity 1)
In 0.000 0.000 0.508 (multiplicity 1)
In 0.500 0.500 0.716 (multiplicity 1)

Density functional theory data (GGA-PBE) for a geometry-optimized SrTlIn2 structure.

- Fermi-level density of states (states/eV/f.u.) = 1.573
- total magnetic moment (μB/atom) = 0.00
- ρ (g cm⁻³) = 7.0
- formation energy from the elements (eV/atom) = -0.236

Cell: 3.904 5.351 5.951 Å, 90.00 90.05 90.00°
Space group Pm (No. 6)
Symmetry-distinct sites (fractional):
Sr 0.000 0.000 0.000 (multiplicity 1)
Tl 0.002 0.500 0.631 (multiplicity 1)
In 0.500 0.000 0.494 (multiplicity 1)
In 0.500 0.500 0.179 (multiplicity 1)